This record from Alexandria via LeMat-Bulk describes a relaxed MgSe2Cl crystal. The functional is PBE-GGA.

Results
Its energy relative to the elements, uncorrected is -0.402 eV/atom. The value obtained for the relative energy among the computed polymorphs is 0.4051 eV/atom.

a b c (Å): 3.6293 3.6489 6.6952
angles (deg): 90.00 90.00 90.00
Last column: nearest neighbours and their distance in Å.
Fractional positions:
1 Se 0.0000 0.0000 0.9343  1 Se 2.47
2 Mg 0.5000 0.5000 0.7500  8 Se 2.85
3 Cl 0.5000 0.5000 0.2500  8 Se 3.33, 2 Mg 3.35, 4 Cl 3.63-3.65
4 Se 0.0000 0.0000 0.5657  1 Se 2.47

This record from Alexandria via LeMat-Bulk describes a relaxed MgSe2Cl crystal. The functional is PBE-GGA.

Results
Its energy relative to the elements, uncorrected is 0.023 eV/atom. The value obtained for the relative energy among the computed polymorphs is 0.8304 eV/atom.

a b c (Å): 5.1821 5.1821 3.1112
angles (deg): 90.00 90.00 90.00
Last column: nearest neighbours and their distance in Å.
Fractional positions:
1 Mg 0.0000 0.5000 0.5000  8 Se 3.02, 2 Mg 3.11
2 Cl 0.5000 0.0000 0.5000  8 Se 3.02, 2 Cl 3.11
3 Se 0.0000 0.0000 0.0000  4 Mg 3.02, 4 Cl 3.02, 2 Se 3.11
4 Se 0.5000 0.5000 0.0000  4 Cl 3.02, 4 Mg 3.02, 2 Se 3.11

This record from Alexandria via LeMat-Bulk describes a relaxed MgSe2Cl crystal. The functional is PBE-GGA.

Results
Its energy relative to the elements, uncorrected is -0.488 eV/atom. The value obtained for the relative energy among the computed polymorphs is 0.3193 eV/atom.

a b c (Å): 5.9721 3.8217 3.8217
angles (deg): 90.00 90.00 90.00
Last column: nearest neighbours and their distance in Å.
Fractional positions:
1 Se 0.0000 0.5000 0.5000  4 Se 2.70
2 Cl 0.5000 0.5000 0.0000  4 Mg 2.70
3 Mg 0.5000 0.0000 0.5000  4 Cl 2.70
4 Se 0.0000 0.0000 0.0000  4 Se 2.70

This record from Alexandria via LeMat-Bulk describes a relaxed MgSeCl2 crystal. The functional is PBE-GGA.

Results
Its energy relative to the elements, uncorrected is -0.438 eV/atom. The value obtained for the relative energy among the computed polymorphs is 0.5411 eV/atom.

a b c (Å): 6.3979 6.3979 6.3979
angles (deg): 144.76 144.76 50.69
Last column: nearest neighbours and their distance in Å.
Fractional positions:
1 Mg 0.5000 0.5000 0.0000  4 Cl 2.74
2 Se 0.7500 0.2500 0.5000  4 Cl 2.74
3 Cl 0.2500 0.7500 0.5000  4 Se 2.74
4 Cl 0.0000 0.0000 0.0000  4 Mg 2.74

This record from Alexandria via LeMat-Bulk describes a relaxed MgSeCl2 crystal. The functional is PBE-GGA.

Results
Its energy relative to the elements, uncorrected is -0.715 eV/atom. The value obtained for the relative energy among the computed polymorphs is 0.2646 eV/atom.

a b c (Å): 8.7098 8.7098 6.7983
angles (deg): 50.16 50.16 90.00
Last column: nearest neighbours and their distance in Å.
Fractional positions:
1 Cl 0.8750 0.7357 0.7500  2 Mg 2.49
2 Cl 0.4857 0.1250 0.2500  2 Mg 2.49
3 Mg 0.5000 0.5000 0.0000  4 Cl 2.49
4 Cl 0.3750 0.5143 0.7500  2 Mg 2.49
5 Cl 0.2643 0.6250 0.2500  2 Mg 2.49
6 Se 0.7500 0.2500 0.5000  2 Mg 2.88, 4 Cl 3.21
7 Mg 0.2500 0.7500 0.5000  4 Cl 2.49
8 Se 0.0000 0.0000 0.0000  2 Mg 2.88, 4 Cl 3.21

This record from Alexandria via LeMat-Bulk describes a relaxed MgSeCl6 crystal. The functional is PBE-GGA.

Results
Its energy relative to the elements, uncorrected is -0.770 eV/atom.

a b c (Å): 6.3109 6.3101 6.6963
angles (deg): 61.89 61.89 60.01
Last column: nearest neighbours and their distance in Å.
Fractional positions:
1 Mg 0.5000 0.5000 0.5000  6 Cl 2.55
2 Cl 0.0898 0.3972 0.7529  1 Se 2.44, 1 Mg 2.55
3 Se 0.0000 0.0000 0.0000  6 Cl 2.44
4 Cl 0.6029 0.2398 0.2471  1 Se 2.44, 1 Mg 2.55
5 Cl 0.7601 0.0898 0.7528  1 Se 2.44, 1 Mg 2.55
6 Cl 0.9102 0.6028 0.2471  1 Se 2.44, 1 Mg 2.55
7 Cl 0.2399 0.9102 0.2472  1 Se 2.44, 1 Mg 2.55
8 Cl 0.3971 0.7602 0.7529  1 Se 2.44, 1 Mg 2.55

Number 1: DFT total energy -12.0 eV for the cell shown. Number 2: DFT total energy -10.3 eV for the cell shown. Number 3: DFT total energy -12.4 eV for the cell shown. Number 4: DFT total energy -10.5 eV for the cell shown. Number 5: DFT total energy -23.3 eV for the cell shown. Number 6: DFT total energy -22.3 eV for the cell shown.